Record 1
VASP calculation (PBE) on AcSm2Th after structural relaxation.

```
AcSm2Th
1.0
-2.062 -3.354 4.357
-2.642 -5.101 -1.219
2.657 -5.070 1.312
Ac Sm Th
1 2 1
Direct
0.500 0.500 0.500 Ac
0.250 0.250 0.250 Sm
0.750 0.750 0.750 Sm
0.000 0.000 0.000 Th
```

Offset from the most stable computed form in eV per atom: 0.1342
Space-group type: Fm-3m (225)
Crystal system: cubic

---

Record 2
VASP calculation (PBE) on AcSmTh after structural relaxation.

```
AcSmTh
1.0
-0.790 -0.610 -3.583
-1.338 -2.282 2.614
-7.461 5.238 0.753
Ac Sm Th
1 1 1
Direct
0.000 0.000 0.990 Ac
0.667 0.333 0.350 Sm
0.333 0.667 0.660 Th
```

Offset from the most stable computed form in eV per atom: 0.0096
Space-group type: P3m1 (156)
Crystal system: trigonal

---

Record 3
VASP calculation (PBE) on AcSm14Th after structural relaxation.

```
AcSm14Th
1.0
7.347 -0.075 0.000
-3.557 6.429 0.000
0.000 0.000 11.808
Ac Sm Th
1 14 1
Direct
0.665 0.335 0.000 Ac
0.666 0.334 0.500 Sm
0.166 0.834 0.500 Sm
0.166 0.333 0.000 Sm
0.166 0.335 0.500 Sm
0.667 0.834 0.000 Sm
0.665 0.834 0.500 Sm
0.331 0.161 0.748 Sm
0.331 0.161 0.252 Sm
0.839 0.669 0.748 Sm
0.839 0.669 0.252 Sm
0.836 0.164 0.744 Sm
0.836 0.164 0.256 Sm
0.332 0.668 0.752 Sm
0.332 0.668 0.248 Sm
0.163 0.837 0.000 Th
```

Space-group type: Amm2 (38)
Crystal system: orthorhombic

---

Record 4
VASP calculation (PBE) on Ac2SmTh after structural relaxation.

```
Ac2SmTh
1.0
-0.128 -2.536 -2.687
-2.093 -3.020 0.406
-10.981 4.505 -6.273
Ac Sm Th
2 1 1
Direct
0.089 0.089 0.734 Ac
0.911 0.911 0.266 Ac
0.500 0.500 0.500 Sm
0.000 0.000 0.000 Th
```

Offset from the most stable computed form in eV per atom: 0.1737
Space-group type: R-3m (166)
Crystal system: trigonal

---

Record 5
VASP calculation (PBE) on Ac2SmTh after structural relaxation.

```
Ac2SmTh
1.0
6.022 0.000 0.000
3.011 5.215 0.000
3.011 1.738 4.917
Ac Sm Th
2 1 1
Direct
0.250 0.250 0.250 Ac
0.750 0.750 0.750 Ac
0.500 0.500 0.500 Sm
0.000 0.000 0.000 Th
```

Offset from the most stable computed form in eV per atom: 0.1491
Space-group type: Fm-3m (225)
Crystal system: cubic

---

Record 6
VASP calculation (PBE) on AcSmThTl after structural relaxation.

```
AcSmThTl
1.0
5.689 0.000 0.000
2.845 4.927 0.000
2.845 1.642 4.645
Ac Sm Tl Th
1 1 1 1
Direct
0.500 0.500 0.500 Ac
0.250 0.250 0.250 Sm
0.000 0.000 0.000 Tl
0.750 0.750 0.750 Th
```

Space-group type: F-43m (216)
Crystal system: cubic

---

Record 7
VASP calculation (PBE) on AcSmTmTh after structural relaxation.

```
AcSmTmTh
1.0
-0.463 5.130 -2.712
-5.029 1.525 -2.504
-3.241 4.239 2.326
Ac Tm Sm Th
1 1 1 1
Direct
0.250 0.250 0.250 Ac
0.500 0.500 0.500 Tm
0.000 0.000 0.000 Sm
0.750 0.750 0.750 Th
```

Space-group type: F-43m (216)
Crystal system: cubic

---

Record 8
VASP calculation (PBE) on Ac2SmTi after structural relaxation.

```
Ac2SmTi
1.0
3.752 0.000 0.000
1.876 3.249 0.000
1.876 1.083 11.141
Ac Sm Ti
2 1 1
Direct
0.259 0.259 0.222 Ac
0.741 0.741 0.778 Ac
0.500 0.500 0.500 Sm
0.000 0.000 0.000 Ti
```

Space-group type: R-3m (166)
Crystal system: trigonal

---

no.,DFT formation energy (eV per atom),raw total energy (eV/cell)
1,0.177,-20.3
2,0.088,-16.0
3,0.050,-76.8
4,0.284,-19.2
5,0.259,-19.3
6,0.091,-18.2
7,0.156,-20.1
8,0.350,-19.4